# TlV2WO8 (PBE+U, optimized geometry)
data_TlV2WO8
_cell_length_a 5.6554
_cell_length_b 5.6554
_cell_length_c 7.8421
_cell_angle_alpha 90.00
_cell_angle_beta 90.00
_cell_angle_gamma 120.00
_space_group_name_H-M_alt 'P -3 m 1'
_space_group_IT_number 164
_space_group_name_Hall '-P 3 2"'
loop_
_atom_site_label
_atom_site_fract_x
_atom_site_fract_y
_atom_site_fract_z
Tl1 0.0000 0.0000 0.0000
V1 0.3333 0.6667 0.2753
W1 0.0000 0.0000 0.5000
O1 0.1617 0.3234 0.3522
O2 0.3333 0.6667 0.0647
# Crystal system: trigonal
# Raw total energy (hartree per atom): -0.2620
# M_tot (μB/f.u.): 1.00